TbHoGa5: relaxed, PBE-GGA.

Values from the calculation:
- VASP energy: -27.35 eV/f.u.
- Calculated volume: 21.22 A^3/atom

Cell lengths 4.2171, 4.2171, 8.3514 Å; angles 90.00, 90.00, 90.00 degrees
Fractional positions:
Tb 0.0000 0.0000 0.0000
Ho 0.0000 0.0000 0.5000
Ga 0.0000 0.5000 0.2550
Ga 0.0000 0.5000 0.7450
Ga 0.5000 0.0000 0.2550
Ga 0.5000 0.0000 0.7450
Ga 0.5000 0.5000 0.0000

=====

Ho2ErLu: relaxed, PBE-GGA.

Values from the calculation:
- ΔE_f: -0.1 meV per atom
- VASP energy: -18.24 eV/f.u.
- Calculated volume: 30.37 A^3/atom

Cell lengths 7.1180, 7.1180, 5.5371 Å; angles 90.00, 90.00, 120.00 degrees
Fractional positions:
Ho 0.1658 0.3329 0.2500
Ho 0.3329 0.1658 0.7500
Ho 0.6671 0.8342 0.2500
Ho 0.8342 0.6671 0.7500
Er 0.3329 0.6671 0.7500
Er 0.6671 0.3329 0.2500
Lu 0.1667 0.8333 0.2500
Lu 0.8333 0.1667 0.7500

=====

DyBiN2O: relaxed, PBE-GGA.

Values from the calculation:
- VASP energy: -33.59 eV/f.u.
- Calculated volume: 14.36 A^3/atom

Cell lengths 7.7606, 8.5545, 8.6678 Å; angles 86.94, 88.97, 88.06 degrees
Fractional positions:
Dy 0.0000 0.0000 0.0000
Dy 0.0095 0.5368 0.0837
Dy 0.4181 0.0019 0.5904
Dy 0.4525 0.4500 0.5133
Dy 0.4921 0.5639 0.0858
Dy 0.5266 0.0122 0.0084
Dy 0.9352 0.4773 0.5146
Dy 0.9447 0.0149 0.5987
Bi 0.2211 0.7796 0.3345
Bi 0.2275 0.2797 0.8347
Bi 0.2275 0.7144 0.7838
Bi 0.2308 0.2215 0.2759
Bi 0.7139 0.7924 0.3231
Bi 0.7169 0.3006 0.8150
Bi 0.7175 0.7348 0.7638
Bi 0.7234 0.2343 0.2642
N 0.1689 0.0122 0.4178
N 0.2550 0.1255 0.0572
N 0.2707 0.5020 0.9235
N 0.3497 0.7137 0.5479
N 0.4640 0.8116 0.2046
N 0.4675 0.8189 0.8445
N 0.4771 0.1962 0.7535
N 0.4804 0.2027 0.3942
N 0.5949 0.3002 0.0508
N 0.6743 0.5125 0.6750
N 0.6897 0.8890 0.5416
N 0.7758 0.0019 0.1809
N 0.9628 0.2898 0.9251
N 0.9696 0.6749 0.3150
N 0.9749 0.3393 0.2838
N 0.9820 0.7246 0.6731
O 0.1322 0.7721 0.0247
O 0.1644 0.0175 0.7596
O 0.1840 0.3702 0.5948
O 0.2852 0.4916 0.2679
O 0.6590 0.5229 0.3310
O 0.7604 0.6435 0.0036
O 0.7800 0.9964 0.8391
O 0.8123 0.2425 0.5738

=====

NaZrNO: relaxed, PBE-GGA.

Values from the calculation:
- VASP energy: -27.84 eV/f.u.
- Relative energy among the computed polymorphs: 0.624 eV per atom
- Calculated volume: 11.79 A^3/atom

Cell lengths 3.3723, 3.3723, 8.2950 Å; angles 90.00, 90.00, 90.00 degrees
Fractional positions:
Na 0.2500 0.7500 0.0000
Na 0.7500 0.2500 0.0000
Zr 0.2500 0.2500 0.3416
Zr 0.7500 0.7500 0.6584
N 0.2500 0.2500 0.7879
N 0.7500 0.7500 0.2121
O 0.2500 0.7500 0.5000
O 0.7500 0.2500 0.5000